A relaxed structure of Pa2CoB2Ru5, computed with PBE.

Values from the calculation:
**V**: 14.4 Å³/atom
**Space-group type**: P4/mbm
**Crystal system**: tetragonal
**Density**: 12.1 g/cm3
**E_form**: -420 kJ/mol of formula units
**Uncorrected energy**: -180.4 eV per cell

Cell lengths 9.5010, 9.5010, 3.1837 Å; angles 90.00, 90.00, 90.00 degrees
Atoms (fractional coordinates):
Pa: 0.1779 0.3221 0.0000
Pa: 0.3221 0.8221 0.0000
Pa: 0.6779 0.1779 0.0000
Pa: 0.8221 0.6779 0.0000
Co: 0.0000 0.0000 0.0000
Co: 0.5000 0.5000 0.0000
B: 0.1216 0.6216 0.0000
B: 0.3784 0.1216 0.0000
B: 0.6216 0.8784 0.0000
B: 0.8784 0.3784 0.0000
Ru: 0.0000 0.5000 0.5000
Ru: 0.0704 0.7818 0.5000
Ru: 0.2182 0.0704 0.5000
Ru: 0.2818 0.5704 0.5000
Ru: 0.4296 0.2818 0.5000
Ru: 0.5000 0.0000 0.5000
Ru: 0.5704 0.7182 0.5000
Ru: 0.7182 0.4296 0.5000
Ru: 0.7818 0.9296 0.5000
Ru: 0.9296 0.2182 0.5000

---

A relaxed structure of PaCoB2Ru2, computed with PBE.

Values from the calculation:
**V**: 13.6 Å³/atom
**Space-group type**: I4/mmm
**Crystal system**: tetragonal
**Density**: 10.4 g/cm3
**E_form**: -156 kJ/mol of formula units
**Uncorrected energy**: -50.1 eV per cell

Cell lengths 5.7562, 5.7562, 5.7562 Å; angles 138.83, 138.83, 59.64 degrees
Atoms (fractional coordinates):
Pa: 0.0000 0.0000 0.0000
Co: 0.5000 0.5000 0.0000
B: 0.3075 0.3075 0.0000
B: 0.6925 0.6925 0.0000
Ru: 0.2500 0.7500 0.5000
Ru: 0.7500 0.2500 0.5000

---

A relaxed structure of PaCoB2Ru, computed with PBE.

Values from the calculation:
**V**: 12.4 Å³/atom
**Space-group type**: I-4m2
**Crystal system**: tetragonal
**Density**: 11.0 g/cm3
**E_form**: -238 kJ/mol of formula units
**Uncorrected energy**: -41.7 eV per cell

Cell lengths 5.1496, 5.1496, 5.1496 Å; angles 137.23, 137.23, 62.09 degrees
Atoms (fractional coordinates):
Pa: 0.0000 0.0000 0.0000
Co: 0.7500 0.2500 0.5000
B: 0.3761 0.3761 0.0000
B: 0.6239 0.6239 0.0000
Ru: 0.2500 0.7500 0.5000

---

A relaxed structure of Pa2Co6SiB, computed with PBE.

Values from the calculation:
**V**: 13.5 Å³/atom
**Space-group type**: R-3m
**Crystal system**: trigonal
**Density**: 10.5 g/cm3
**Raw formation energy**: -0.4739 eV per atom
**Uncorrected energy**: -156.9 eV per cell

Cell lengths 11.9507, 11.9507, 11.9507 Å; angles 25.12, 25.12, 25.12 degrees
Atoms (fractional coordinates):
Pa: 0.1157 0.1157 0.1157
Pa: 0.2855 0.2855 0.2855
Pa: 0.7145 0.7145 0.7145
Pa: 0.8843 0.8843 0.8843
Co: 0.1144 0.6433 0.6433
Co: 0.2045 0.2045 0.6906
Co: 0.2045 0.6906 0.2045
Co: 0.3094 0.7955 0.7955
Co: 0.3567 0.3567 0.8856
Co: 0.3567 0.8856 0.3567
Co: 0.6433 0.1144 0.6433
Co: 0.6433 0.6433 0.1144
Co: 0.6906 0.2045 0.2045
Co: 0.7955 0.3094 0.7955
Co: 0.7955 0.7955 0.3094
Co: 0.8856 0.3567 0.3567
Si: 0.4183 0.4183 0.4183
Si: 0.5817 0.5817 0.5817
B: 0.0000 0.0000 0.0000
B: 0.5000 0.5000 0.5000

---

Question: Look up the density of the first one.
Answer: 12.1 g/cm3

---

Question: Which value of V does entry 3 give?
Answer: 12.4 Å³/atom

---

What did the third record say?
A relaxed structure of PaCoB2Ru, computed with PBE.

Values from the calculation:
**V**: 12.4 Å³/atom
**Space-group type**: I-4m2
**Crystal system**: tetragonal
**Density**: 11.0 g/cm3
**E_form**: -238 kJ/mol of formula units
**Uncorrected energy**: -41.7 eV per cell

Cell lengths 5.1496, 5.1496, 5.1496 Å; angles 137.23, 137.23, 62.09 degrees
Atoms (fractional coordinates):
Pa: 0.0000 0.0000 0.0000
Co: 0.7500 0.2500 0.5000
B: 0.3761 0.3761 0.0000
B: 0.6239 0.6239 0.0000
Ru: 0.2500 0.7500 0.5000

---

Question: Which formula does entry 2 have?
Answer: PaCoB2Ru2